# 1
The following is a DFT calculation (PBE) of crystalline NaInIr3 at its relaxed geometry.

a = 4.969 Å, b = 4.969 Å, c = 4.969 Å
α = 90.00°, β = 90.00°, γ = 90.00°
Space group Pm-3m (No. 221)
Symmetry-distinct sites (fractional):
1 Na 0.000 0.000 0.000 x1
2 In 0.500 0.500 0.500 x1
3 Ir 0.000 0.500 0.500 x3

energy of formation = 1.764 eV per atom

=====

# 2
The following is a DFT calculation (PBE) of crystalline Na2In6Ir at its relaxed geometry.

a = 8.8327 Å, b = 8.8327 Å, c = 3.3948 Å
α = 90.00°, β = 90.00°, γ = 120.00°
Space group P-62m (No. 189)
Symmetry-distinct sites (fractional):
1 Na 0.3333 0.6667 0.0000 x2
2 In 0.0000 0.3436 0.5000 x3
3 In 0.0000 0.7451 0.0000 x3
4 Ir 0.0000 0.0000 0.5000 x1

energy of formation = -0.016 eV per atom

=====

# 3
The following is a DFT calculation (PBE) of crystalline NaIn4Ir2 at its relaxed geometry.

a = 4.7567 Å, b = 4.7567 Å, c = 14.3039 Å
α = 90.00°, β = 90.00°, γ = 120.00°
Space group P6_3/mmc (No. 194)
Symmetry-distinct sites (fractional):
1 Na 0.0000 0.0000 0.2500 x2
2 In 0.0000 0.0000 0.0000 x2
3 In 0.3333 0.6667 0.1266 x4
4 In 0.3333 0.6667 0.7500 x2
5 Ir 0.3333 0.6667 0.5666 x4

energy of formation = -0.051 eV per atom

=====

# 4
The following is a DFT calculation (PBE) of crystalline NaIn3Ir2 at its relaxed geometry.

a = 13.805 Å, b = 6.945 Å, c = 6.064 Å
α = 90.00°, β = 90.00°, γ = 90.00°
Space group Cmcm (No. 63)
Symmetry-distinct sites (fractional):
1 Na 0.000 0.186 0.250 x4
2 In 0.000 0.357 0.750 x4
3 In 0.248 0.249 0.250 x8
4 Ir 0.148 0.500 0.000 x8

energy of formation = -0.091 eV per atom

=====

# 5
The following is a DFT calculation (PBE) of crystalline Na2In2Ir at its relaxed geometry.

a = 3.171 Å, b = 6.028 Å, c = 12.855 Å
α = 90.00°, β = 96.85°, γ = 90.00°
Space group P2_1/m (No. 11)
Symmetry-distinct sites (fractional):
1 Na 0.107 0.250 0.211 x2
2 Na 0.262 0.750 0.532 x2
3 In 0.351 0.250 0.692 x2
4 In 0.500 0.000 0.000 x2
5 Ir 0.062 0.750 0.129 x2

energy of formation = -0.052 eV per atom

=====

# 6
The following is a DFT calculation (PBE) of crystalline Na12In6Ir at its relaxed geometry.

a = 11.1584 Å, b = 11.1584 Å, c = 14.7035 Å
α = 90.00°, β = 90.00°, γ = 120.00°
Space group R-3 (No. 148, hexagonal axes)
Symmetry-distinct sites (fractional):
1 Na 0.0407 0.1868 0.3159 x18
2 Na 0.0661 0.8411 0.9139 x18
3 In 0.0549 0.4559 0.2064 x18
4 Ir 0.0000 0.0000 0.5000 x3

energy of formation = -0.074 eV per atom